# K2CaSe GGA-PBE relaxed
data_K2CaSe
_symmetry_space_group_name_H-M 'P 1'
_symmetry_Int_Tables_number 1
_cell_length_a 4.218
_cell_length_b 5.234
_cell_length_c 16.099
_cell_angle_alpha 90.00
_cell_angle_beta 90.00
_cell_angle_gamma 90.00
loop_
_symmetry_equiv_pos_as_xyz
'x,y,z'
loop_
_atom_site_label
_atom_site_fract_x
_atom_site_fract_y
_atom_site_fract_z
K1 0.000 0.000 0.000
K2 0.000 0.500 0.500
K3 0.500 0.000 0.339
K4 0.500 0.500 0.839
Ca1 0.500 0.000 0.669
Ca2 0.500 0.500 0.169
Se1 0.000 0.000 0.789
Se2 0.000 0.500 0.289
# **Symmetry**: Amm2, No. 38
# **Total DFT energy (no corrections)**: -2.6640 eV per atom
# **Total magnetic moment**: 0.00 μB/cell
# **ρ**: 1.84 Mg/m³

***

# KCaSe3 GGA-PBE relaxed
data_KCaSe3
_symmetry_space_group_name_H-M 'P 1'
_symmetry_Int_Tables_number 1
_cell_length_a 5.630
_cell_length_b 5.630
_cell_length_c 5.630
_cell_angle_alpha 90.00
_cell_angle_beta 90.00
_cell_angle_gamma 90.00
loop_
_symmetry_equiv_pos_as_xyz
'x,y,z'
loop_
_atom_site_label
_atom_site_fract_x
_atom_site_fract_y
_atom_site_fract_z
K1 0.000 0.000 0.000
Ca1 0.500 0.500 0.500
Se1 0.000 0.500 0.500
Se2 0.500 0.000 0.500
Se3 0.500 0.500 0.000
# **Symmetry**: Pm-3m, No. 221
# **E above lowest polymorph**: 0 meV/atom
# **Total DFT energy (no corrections)**: -3.3452 eV per atom
# **Total magnetic moment**: 2.88 μB/cell
# **ρ**: 2.94 Mg/m³

***

# K2CaSe GGA-PBE relaxed
data_K2CaSe
_symmetry_space_group_name_H-M 'P 1'
_symmetry_Int_Tables_number 1
_cell_length_a 8.490
_cell_length_b 8.490
_cell_length_c 8.490
_cell_angle_alpha 90.00
_cell_angle_beta 90.00
_cell_angle_gamma 90.00
loop_
_symmetry_equiv_pos_as_xyz
'x,y,z'
loop_
_atom_site_label
_atom_site_fract_x
_atom_site_fract_y
_atom_site_fract_z
K1 0.000 0.000 0.000
K2 0.000 0.500 0.500
K3 0.250 0.250 0.250
K4 0.250 0.750 0.750
K5 0.500 0.000 0.500
K6 0.500 0.500 0.000
K7 0.750 0.250 0.750
K8 0.750 0.750 0.250
Ca1 0.250 0.250 0.750
Ca2 0.250 0.750 0.250
Ca3 0.750 0.250 0.250
Ca4 0.750 0.750 0.750
Se1 0.000 0.000 0.500
Se2 0.000 0.500 0.000
Se3 0.500 0.000 0.000
Se4 0.500 0.500 0.500
# **Symmetry**: F-43m, No. 216
# **Total DFT energy (no corrections)**: -2.1992 eV per atom
# **Total magnetic moment**: 0.00 μB/cell
# **ρ**: 2.14 Mg/m³

***

# K2CaSe GGA-PBE relaxed
data_K2CaSe
_symmetry_space_group_name_H-M 'P 1'
_symmetry_Int_Tables_number 1
_cell_length_a 4.724
_cell_length_b 4.724
_cell_length_c 12.888
_cell_angle_alpha 90.00
_cell_angle_beta 90.00
_cell_angle_gamma 90.00
loop_
_symmetry_equiv_pos_as_xyz
'x,y,z'
loop_
_atom_site_label
_atom_site_fract_x
_atom_site_fract_y
_atom_site_fract_z
K1 0.000 0.500 0.250
K2 0.000 0.500 0.750
K3 0.500 0.000 0.250
K4 0.500 0.000 0.750
Ca1 0.000 0.000 0.000
Ca2 0.500 0.500 0.500
Se1 0.000 0.000 0.500
Se2 0.500 0.500 0.000
# **Symmetry**: I4/mmm, No. 139
# **Total DFT energy (no corrections)**: -2.3456 eV per atom
# **Total magnetic moment**: 2.61 μB/cell
# **ρ**: 2.28 Mg/m³

***

# KCaSe3 GGA-PBE relaxed
data_KCaSe3
_symmetry_space_group_name_H-M 'P 1'
_symmetry_Int_Tables_number 1
_cell_length_a 5.563
_cell_length_b 5.563
_cell_length_c 5.563
_cell_angle_alpha 90.00
_cell_angle_beta 90.00
_cell_angle_gamma 90.00
loop_
_symmetry_equiv_pos_as_xyz
'x,y,z'
loop_
_atom_site_label
_atom_site_fract_x
_atom_site_fract_y
_atom_site_fract_z
K1 0.000 0.000 0.000
Ca1 0.500 0.500 0.500
Se1 0.000 0.000 0.500
Se2 0.000 0.500 0.000
Se3 0.500 0.000 0.000
# **Symmetry**: Pm-3m, No. 221
# **E above lowest polymorph**: 705 meV/atom
# **Total DFT energy (no corrections)**: -2.6401 eV per atom
# **Total magnetic moment**: 1.51 μB/cell
# **ρ**: 3.05 Mg/m³

***

# K2CaSi2Se6 GGA-PBE relaxed
data_K2CaSi2Se6
_symmetry_space_group_name_H-M 'P 1'
_symmetry_Int_Tables_number 1
_cell_length_a 9.176
_cell_length_b 9.176
_cell_length_c 9.176
_cell_angle_alpha 47.57
_cell_angle_beta 47.57
_cell_angle_gamma 47.57
loop_
_symmetry_equiv_pos_as_xyz
'x,y,z'
loop_
_atom_site_label
_atom_site_fract_x
_atom_site_fract_y
_atom_site_fract_z
K1 0.219 0.219 0.219
K2 0.781 0.781 0.781
Ca1 0.000 0.000 0.000
Si1 0.414 0.414 0.414
Si2 0.586 0.586 0.586
Se1 0.239 0.750 0.750
Se2 0.250 0.250 0.761
Se3 0.250 0.761 0.250
Se4 0.750 0.239 0.750
Se5 0.750 0.750 0.239
Se6 0.761 0.250 0.250
# **Symmetry**: R-3m, No. 166
# **Total DFT energy (no corrections)**: -4.1167 eV per atom
# **Total magnetic moment**: 0.00 μB/cell
# **ρ**: 2.79 Mg/m³

***

# KCaSm2Se4 GGA-PBE relaxed
data_KCaSm2Se4
_symmetry_space_group_name_H-M 'P 1'
_symmetry_Int_Tables_number 1
_cell_length_a 7.366
_cell_length_b 4.221
_cell_length_c 7.549
_cell_angle_alpha 90.00
_cell_angle_beta 108.60
_cell_angle_gamma 90.00
loop_
_symmetry_equiv_pos_as_xyz
'x,y,z'
loop_
_atom_site_label
_atom_site_fract_x
_atom_site_fract_y
_atom_site_fract_z
K1 0.000 0.000 0.000
Ca1 0.500 0.500 0.000
Sm1 0.000 0.500 0.500
Sm2 0.500 0.000 0.500
Se1 0.255 0.000 0.741
Se2 0.265 0.500 0.270
Se3 0.735 0.500 0.730
Se4 0.745 0.000 0.259
# **Symmetry**: P2/m, No. 10
# **Total DFT energy (no corrections)**: -5.1042 eV per atom
# **Total magnetic moment**: 0.00 μB/cell
# **ρ**: 5.19 Mg/m³

***

# KCaSn2Se GGA-PBE relaxed
data_KCaSn2Se
_symmetry_space_group_name_H-M 'P 1'
_symmetry_Int_Tables_number 1
_cell_length_a 5.804
_cell_length_b 5.804
_cell_length_c 5.427
_cell_angle_alpha 90.00
_cell_angle_beta 90.00
_cell_angle_gamma 90.00
loop_
_symmetry_equiv_pos_as_xyz
'x,y,z'
loop_
_atom_site_label
_atom_site_fract_x
_atom_site_fract_y
_atom_site_fract_z
K1 0.000 0.000 0.000
Ca1 0.500 0.500 0.000
Sn1 0.000 0.500 0.500
Sn2 0.500 0.000 0.500
Se1 0.500 0.500 0.500
# **Symmetry**: P4/mmm, No. 123
# **Total DFT energy (no corrections)**: -3.1732 eV per atom
# **Total magnetic moment**: 0.00 μB/cell
# **ρ**: 3.59 Mg/m³

***

# K2Ca2TaSe6 GGA-PBE relaxed
data_K2Ca2TaSe6
_symmetry_space_group_name_H-M 'P 1'
_symmetry_Int_Tables_number 1
_cell_length_a 7.028
_cell_length_b 7.028
_cell_length_c 8.210
_cell_angle_alpha 98.90
_cell_angle_beta 98.90
_cell_angle_gamma 118.82
loop_
_symmetry_equiv_pos_as_xyz
'x,y,z'
loop_
_atom_site_label
_atom_site_fract_x
_atom_site_fract_y
_atom_site_fract_z
K1 0.175 0.825 0.000
K2 0.825 0.175 0.000
Ca1 0.334 0.666 0.500
Ca2 0.666 0.334 0.500
Ta1 0.000 0.000 0.500
Se1 0.071 0.369 0.699
Se2 0.227 0.227 0.302
Se3 0.369 0.071 0.699
Se4 0.631 0.929 0.301
Se5 0.773 0.773 0.698
Se6 0.929 0.631 0.301
# **Symmetry**: C2/m, No. 12
# **Total DFT energy (no corrections)**: -4.7809 eV per atom
# **Total magnetic moment**: 0.00 μB/cell
# **ρ**: 3.99 Mg/m³

***

# K2CaTaSe4 GGA-PBE relaxed
data_K2CaTaSe4
_symmetry_space_group_name_H-M 'P 1'
_symmetry_Int_Tables_number 1
_cell_length_a 7.716
_cell_length_b 7.716
_cell_length_c 9.369
_cell_angle_alpha 90.00
_cell_angle_beta 90.00
_cell_angle_gamma 90.00
loop_
_symmetry_equiv_pos_as_xyz
'x,y,z'
loop_
_atom_site_label
_atom_site_fract_x
_atom_site_fract_y
_atom_site_fract_z
K1 0.000 0.000 0.000
K2 0.000 0.500 0.250
K3 0.500 0.000 0.750
K4 0.500 0.500 0.500
Ca1 0.000 0.500 0.750
Ca2 0.500 0.000 0.250
Ta1 0.000 0.000 0.500
Ta2 0.500 0.500 0.000
Se1 0.181 0.779 0.621
Se2 0.221 0.181 0.379
Se3 0.279 0.319 0.879
Se4 0.319 0.721 0.121
Se5 0.681 0.279 0.121
Se6 0.721 0.681 0.879
Se7 0.779 0.819 0.379
Se8 0.819 0.221 0.621
# **Symmetry**: I-4, No. 82
# **Total DFT energy (no corrections)**: -4.8329 eV per atom
# **Total magnetic moment**: 2.03 μB/cell
# **ρ**: 3.66 Mg/m³

***

# KCaTeSe2 GGA-PBE relaxed
data_KCaTeSe2
_symmetry_space_group_name_H-M 'P 1'
_symmetry_Int_Tables_number 1
_cell_length_a 7.876
_cell_length_b 5.863
_cell_length_c 7.306
_cell_angle_alpha 90.00
_cell_angle_beta 104.26
_cell_angle_gamma 90.00
loop_
_symmetry_equiv_pos_as_xyz
'x,y,z'
loop_
_atom_site_label
_atom_site_fract_x
_atom_site_fract_y
_atom_site_fract_z
K1 0.000 0.188 0.250
K2 0.000 0.812 0.750
Ca1 0.500 0.488 0.750
Ca2 0.500 0.512 0.250
Te1 0.500 0.000 0.000
Te2 0.500 0.000 0.500
Se1 0.234 0.325 0.933
Se2 0.234 0.675 0.433
Se3 0.766 0.325 0.567
Se4 0.766 0.675 0.067
# **Symmetry**: P2/c, No. 13
# **Total DFT energy (no corrections)**: -3.6958 eV per atom
# **Total magnetic moment**: 0.00 μB/cell
# **ρ**: 3.70 Mg/m³

***

# K2Ca2Te2Se GGA-PBE relaxed
data_K2Ca2Te2Se
_symmetry_space_group_name_H-M 'P 1'
_symmetry_Int_Tables_number 1
_cell_length_a 5.478
_cell_length_b 5.478
_cell_length_c 17.639
_cell_angle_alpha 90.00
_cell_angle_beta 90.00
_cell_angle_gamma 90.00
loop_
_symmetry_equiv_pos_as_xyz
'x,y,z'
loop_
_atom_site_label
_atom_site_fract_x
_atom_site_fract_y
_atom_site_fract_z
K1 0.000 0.000 0.183
K2 0.000 0.000 0.817
K3 0.500 0.500 0.317
K4 0.500 0.500 0.683
Ca1 0.000 0.500 0.000
Ca2 0.000 0.500 0.500
Ca3 0.500 0.000 0.000
Ca4 0.500 0.000 0.500
Te1 0.000 0.000 0.382
Te2 0.000 0.000 0.618
Te3 0.500 0.500 0.118
Te4 0.500 0.500 0.882
Se1 0.000 0.000 0.000
Se2 0.500 0.500 0.500
# **Symmetry**: I4/mmm, No. 139
# **Total DFT energy (no corrections)**: -3.6882 eV per atom
# **Total magnetic moment**: 0.00 μB/cell
# **ρ**: 3.09 Mg/m³